(1)
# TmNiSb

An optimized crystal structure of TmNiSb (PBE-GGA, the Alexandria database).

Results
The value obtained for the mass density is 9.29 g cm⁻³. As for the raw formation energy: -903 meV per atom. As for the symmetry: F-43m.

Unit cell a=4.4531 b=4.4531 c=4.4531 alpha=60.00 beta=60.00 gamma=60.00
With the nearest neighbours (Å) after each atom.
Positions (direct):
Sb: 0.0000 0.0000 0.0000  4 Ni 2.73
Tm: 0.5000 0.5000 0.5000  4 Ni 2.73
Ni: 0.2500 0.2500 0.2500  4 Sb 2.73, 4 Tm 2.73

(2)
# Tm7Ni2Sb2

An optimized crystal structure of Tm7Ni2Sb2 (PBE-GGA, the Alexandria database).

Results
The value obtained for the mass density is 8.64 g cm⁻³. As for the raw formation energy: -388 meV per atom. The value obtained for the energy above the most stable polymorph in this dataset is 0.165 eV per atom. As for the symmetry: Cmmm.

Unit cell a=6.7344 b=6.7446 c=6.7344 alpha=90.00 beta=104.22 gamma=90.00
With the nearest neighbours (Å) after each atom.
Positions (direct):
Ni: 0.7169 0.0000 0.2831  6 Tm 2.67-2.79
Ni: 0.2831 0.0000 0.7169  6 Tm 2.67-2.79
Tm: 0.5003 0.7556 0.9998  2 Ni 2.67
Tm: 0.4998 0.2321 0.5002  2 Ni 2.78-2.79, 2 Sb 3.10
Tm: 0.0000 0.0000 0.0000  2 Ni 3.01
Tm: 0.9998 0.2444 0.5003  2 Ni 2.67
Tm: 0.5002 0.7679 0.4998  2 Ni 2.78-2.79, 2 Sb 3.10
Tm: 0.0002 0.7556 0.4997  2 Ni 2.67
Tm: 0.4997 0.2444 0.0002  2 Ni 2.67
Sb: 0.1958 0.5000 0.1958  6 Tm 3.10-3.20, 1 Sb 3.24
Sb: 0.8042 0.5000 0.8042  6 Tm 3.10-3.20, 1 Sb 3.24

(3)
# TmNi3Sb

An optimized crystal structure of TmNi3Sb (PBE-GGA, the Alexandria database).

Results
The value obtained for the mass density is 8.56 g cm⁻³. As for the raw formation energy: -276 meV per atom. As for the symmetry: Imma.

Unit cell a=5.2859 b=6.9028 c=6.5994 alpha=121.53 beta=113.61 gamma=90.00
With the nearest neighbours (Å) after each atom.
Positions (direct):
Ni: 0.7500 0.2483 0.5000  2 Sb 2.48, 4 Ni 2.49, 2 Tm 2.70
Ni: 0.8762 0.8762 0.2525  5 Ni 2.46-2.64, 2 Sb 2.51
Ni: 0.3762 0.8762 0.2525  5 Ni 2.46-2.64, 2 Sb 2.51
Ni: 0.2500 0.7517 0.5000  2 Sb 2.48, 4 Ni 2.49, 2 Tm 2.70
Ni: 0.1238 0.1238 0.7475  5 Ni 2.46-2.64, 2 Sb 2.51
Ni: 0.6238 0.1238 0.7475  5 Ni 2.46-2.64, 2 Sb 2.51
Sb: 0.5000 0.0000 0.0000  6 Ni 2.48-2.51
Sb: 0.0000 0.5000 0.0000  6 Ni 2.48-2.51
Tm: 0.2500 0.3260 0.5000  7 Ni 2.70-2.94
Tm: 0.7500 0.6740 0.5000  7 Ni 2.70-2.94

(4)
# Tm4Ni2Sb

An optimized crystal structure of Tm4Ni2Sb (PBE-GGA, the Alexandria database).

Results
The value obtained for the mass density is 9.49 g cm⁻³. As for the raw formation energy: -513 meV per atom. As for the symmetry: Cc.

Unit cell a=6.7042 b=6.7374 c=8.3971 alpha=107.97 beta=107.83 gamma=103.42
With the nearest neighbours (Å) after each atom.
Positions (direct):
Tm: 0.3773 0.4709 0.1852  3 Ni 2.65-2.95
Tm: 0.9775 0.1963 0.3267  3 Ni 2.67-2.87
Tm: 0.4909 0.7641 0.9162  2 Ni 2.64-2.76
Tm: 0.4420 0.0357 0.3146  3 Ni 2.65-2.95
Tm: 0.2292 0.1643 0.7386  1 Ni 2.70
Tm: 0.8245 0.5979 0.5837  2 Ni 2.64-2.75
Tm: 0.7406 0.1760 0.7613  1 Ni 2.70
Tm: 0.9010 0.6198 0.1736  3 Ni 2.67-2.87
Ni: 0.6040 0.2202 0.0827  5 Tm 2.65-2.95
Ni: 0.4384 0.3920 0.5853  4 Tm 2.64-2.87, 1 Sb 2.68
Ni: 0.1030 0.5571 0.9147  4 Tm 2.64-2.87, 1 Sb 2.68
Ni: 0.7710 0.8874 0.4174  5 Tm 2.65-2.95
Sb: 0.3135 0.7220 0.5258  1 Ni 2.68
Sb: 0.0372 0.9463 0.9742  1 Ni 2.68

(5)
# Tm6NiSb3

An optimized crystal structure of Tm6NiSb3 (PBE-GGA, the Alexandria database).

Results
The value obtained for the mass density is 8.57 g cm⁻³. As for the raw formation energy: -535 meV per atom. As for the symmetry: Cmc2_1.

Unit cell a=6.7176 b=9.3866 c=9.3866 alpha=109.80 beta=90.00 gamma=90.00
With the nearest neighbours (Å) after each atom.
Positions (direct):
Sb: 0.4946 0.9277 0.7154  7 Tm 3.00-3.23
Sb: 0.9946 0.0723 0.2846  7 Tm 3.00-3.23
Sb: 0.9946 0.7154 0.9277  7 Tm 3.00-3.23
Sb: 0.2700 0.4335 0.5665  6 Tm 3.06-3.16
Sb: 0.4946 0.2846 0.0723  7 Tm 3.00-3.23
Sb: 0.7700 0.5665 0.4335  6 Tm 3.06-3.16
Ni: 0.0682 0.1472 0.8528  5 Tm 2.68-2.96
Ni: 0.5682 0.8528 0.1472  5 Tm 2.68-2.96
Tm: 0.2303 0.7603 0.2397  1 Ni 2.68
Tm: 0.2957 0.9822 0.0178  2 Ni 2.70-2.96, 2 Sb 3.02
Tm: 0.7213 0.5705 0.1048  1 Ni 2.74, 1 Sb 3.01
Tm: 0.5947 0.2375 0.3651  4 Sb 3.00-3.16
Tm: 0.0947 0.3651 0.2375  4 Sb 3.00-3.16
Tm: 0.7303 0.2397 0.7603  1 Ni 2.68
Tm: 0.7213 0.8952 0.4295  1 Ni 2.74, 1 Sb 3.01
Tm: 0.2213 0.1048 0.5705  1 Ni 2.74, 1 Sb 3.01
Tm: 0.7957 0.0178 0.9822  2 Ni 2.70-2.96, 2 Sb 3.02
Tm: 0.5947 0.6349 0.7625  4 Sb 3.00-3.16
Tm: 0.0947 0.7625 0.6349  4 Sb 3.00-3.16
Tm: 0.2213 0.4295 0.8952  1 Ni 2.74, 1 Sb 3.01

(6)
# TmNiSb

An optimized crystal structure of TmNiSb (PBE-GGA, the Alexandria database).

Results
The value obtained for the mass density is 9.29 g cm⁻³. As for the raw formation energy: -750 meV per atom. As for the symmetry: P3m1.

Unit cell a=3.9425 b=4.2778 c=4.2778 alpha=120.00 beta=90.00 gamma=90.00
With the nearest neighbours (Å) after each atom.
Positions (direct):
Tm: 0.6658 0.3333 0.6667  6 Ni 3.15-3.17, 6 Sb 3.16
Ni: 0.1685 0.6667 0.3333  3 Sb 2.47
Sb: 0.1657 0.0000 0.0000  3 Ni 2.47

(7)
# TmNi4Sb

An optimized crystal structure of TmNi4Sb (PBE-GGA, the Alexandria database).

Results
The value obtained for the mass density is 10.03 g cm⁻³. As for the raw formation energy: -364 meV per atom. As for the symmetry: F-43m.

Unit cell a=4.9732 b=4.9732 c=4.9732 alpha=60.00 beta=60.00 gamma=60.00
With the nearest neighbours (Å) after each atom.
Positions (direct):
Sb: 0.2500 0.2500 0.2500  12 Ni 2.92, 4 Tm 3.05
Tm: 0.0000 0.0000 0.0000  12 Ni 2.92, 4 Sb 3.05
Ni: 0.6253 0.6253 0.1240  6 Ni 2.48-2.49
Ni: 0.6253 0.6253 0.6253  6 Ni 2.48-2.49
Ni: 0.1240 0.6253 0.6253  6 Ni 2.48-2.49
Ni: 0.6253 0.1240 0.6253  6 Ni 2.48-2.49

(8)
# Tm12Ni6Sb

An optimized crystal structure of Tm12Ni6Sb (PBE-GGA, the Alexandria database).

Results
The value obtained for the mass density is 9.47 g cm⁻³. As for the raw formation energy: -452 meV per atom. As for the symmetry: Im-3.

Unit cell a=8.2888 b=8.2888 c=8.2888 alpha=109.47 beta=109.47 gamma=109.47
With the nearest neighbours (Å) after each atom.
Positions (direct):
Tm: 0.1163 0.8118 0.3045  3 Ni 2.59-2.86
Tm: 0.3045 0.1163 0.8118  3 Ni 2.59-2.86
Tm: 0.1882 0.3045 0.4928  3 Ni 2.59-2.86
Tm: 0.4928 0.1882 0.3045  3 Ni 2.59-2.86
Tm: 0.8118 0.3045 0.1163  3 Ni 2.59-2.86
Tm: 0.3045 0.4928 0.1882  3 Ni 2.59-2.86
Tm: 0.8837 0.1882 0.6955  3 Ni 2.59-2.86
Tm: 0.5072 0.8118 0.6955  3 Ni 2.59-2.86
Tm: 0.1882 0.6955 0.8837  3 Ni 2.59-2.86
Tm: 0.6955 0.8837 0.1882  3 Ni 2.59-2.86
Tm: 0.6955 0.5072 0.8118  3 Ni 2.59-2.86
Tm: 0.8118 0.6955 0.5072  3 Ni 2.59-2.86
Sb: 0.0000 0.0000 0.0000  12 Tm 3.43
Ni: 0.6248 0.5000 0.1248  1 Ni 2.39, 2 Tm 2.59
Ni: 0.5000 0.1248 0.6248  1 Ni 2.39, 2 Tm 2.59
Ni: 0.5000 0.8752 0.3752  1 Ni 2.39, 2 Tm 2.59
Ni: 0.3752 0.5000 0.8752  1 Ni 2.39, 2 Tm 2.59
Ni: 0.8752 0.3752 0.5000  1 Ni 2.39, 2 Tm 2.59
Ni: 0.1248 0.6248 0.5000  1 Ni 2.39, 2 Tm 2.59

(9)
# UNi2Sb

An optimized crystal structure of UNi2Sb (PBE-GGA, the Alexandria database).

Results
The value obtained for the mass density is 11.64 g cm⁻³. As for the raw formation energy: -25 meV per atom. As for the symmetry: P4/mmm.

Unit cell a=3.1723 b=3.1723 c=6.7664 alpha=90.00 beta=90.00 gamma=90.00
With the nearest neighbours (Å) after each atom.
Positions (direct):
Sb: 0.5000 0.5000 0.0000  8 Ni 2.81
U: 0.5000 0.5000 0.5000  8 Ni 2.81
Ni: 0.0000 0.0000 0.7494  4 U 2.81, 4 Sb 2.81
Ni: 0.0000 0.0000 0.2506  4 U 2.81, 4 Sb 2.81

(10)
# UNiSb

An optimized crystal structure of UNiSb (PBE-GGA, the Alexandria database).

Results
The value obtained for the mass density is 11.42 g cm⁻³. As for the raw formation energy: -18 meV per atom. As for the symmetry: I4mm.

Unit cell a=3.3421 b=3.3421 c=5.9369 alpha=106.35 beta=106.35 gamma=90.00
With the nearest neighbours (Å) after each atom.
Positions (direct):
Ni: 0.2796 0.2796 0.5593  4 U 2.81, 4 Sb 2.88
Sb: 0.9305 0.9305 0.8610  4 Ni 2.88, 1 U 3.17
U: 0.6399 0.6399 0.2797  4 Ni 2.81

(11)
# UNiSb

An optimized crystal structure of UNiSb (PBE-GGA, the Alexandria database).

Results
The value obtained for the mass density is 12.54 g cm⁻³. As for the raw formation energy: -191 meV per atom. As for the symmetry: P4/nmm.

Unit cell a=3.8600 b=3.8600 c=7.4377 alpha=90.00 beta=90.00 gamma=90.00
With the nearest neighbours (Å) after each atom.
Positions (direct):
Sb: 0.0000 0.5000 0.1506  5 Ni 2.64-2.76
Sb: 0.5000 0.0000 0.8494  5 Ni 2.64-2.76
Ni: 0.5000 0.0000 0.2043  5 Sb 2.64-2.76, 4 U 2.93
Ni: 0.0000 0.5000 0.7957  5 Sb 2.64-2.76, 4 U 2.93
U: 0.5000 0.5000 0.5000  4 U 2.73, 4 Ni 2.93
U: 0.0000 0.0000 0.5000  4 U 2.73, 4 Ni 2.93

What is the raw formation energy in the third record?
-276 meV per atom

Please write out number 4 again, unchanged.
# Tm4Ni2Sb

An optimized crystal structure of Tm4Ni2Sb (PBE-GGA, the Alexandria database).

Results
The value obtained for the mass density is 9.49 g cm⁻³. As for the raw formation energy: -513 meV per atom. As for the symmetry: Cc.

Unit cell a=6.7042 b=6.7374 c=8.3971 alpha=107.97 beta=107.83 gamma=103.42
With the nearest neighbours (Å) after each atom.
Positions (direct):
Tm: 0.3773 0.4709 0.1852  3 Ni 2.65-2.95
Tm: 0.9775 0.1963 0.3267  3 Ni 2.67-2.87
Tm: 0.4909 0.7641 0.9162  2 Ni 2.64-2.76
Tm: 0.4420 0.0357 0.3146  3 Ni 2.65-2.95
Tm: 0.2292 0.1643 0.7386  1 Ni 2.70
Tm: 0.8245 0.5979 0.5837  2 Ni 2.64-2.75
Tm: 0.7406 0.1760 0.7613  1 Ni 2.70
Tm: 0.9010 0.6198 0.1736  3 Ni 2.67-2.87
Ni: 0.6040 0.2202 0.0827  5 Tm 2.65-2.95
Ni: 0.4384 0.3920 0.5853  4 Tm 2.64-2.87, 1 Sb 2.68
Ni: 0.1030 0.5571 0.9147  4 Tm 2.64-2.87, 1 Sb 2.68
Ni: 0.7710 0.8874 0.4174  5 Tm 2.65-2.95
Sb: 0.3135 0.7220 0.5258  1 Ni 2.68
Sb: 0.0372 0.9463 0.9742  1 Ni 2.68

Number 10 is which compound?
UNiSb

Copy entry 10 word for word.
# UNiSb

An optimized crystal structure of UNiSb (PBE-GGA, the Alexandria database).

Results
The value obtained for the mass density is 11.42 g cm⁻³. As for the raw formation energy: -18 meV per atom. As for the symmetry: I4mm.

Unit cell a=3.3421 b=3.3421 c=5.9369 alpha=106.35 beta=106.35 gamma=90.00
With the nearest neighbours (Å) after each atom.
Positions (direct):
Ni: 0.2796 0.2796 0.5593  4 U 2.81, 4 Sb 2.88
Sb: 0.9305 0.9305 0.8610  4 Ni 2.88, 1 U 3.17
U: 0.6399 0.6399 0.2797  4 Ni 2.81